# LiMoO2F

An optimized crystal structure of LiMoO2F (PBE with a Hubbard U, the Alexandria database).

Values from the calculation:
Fermi-level density of states: 0.26 states/eV/atom
E: -5.19 eV/atom
theoretical density: 5.6 Mg/m³
space group: P4/mmm (123)

Geometry as POSCAR:
```
LiMoO2F
1.0
3.724 0.000 0.000
0.000 3.724 0.000
0.000 0.000 3.317
Li Mo O F
1 1 2 1
Direct
0.000 0.000 0.000
0.500 0.500 0.500
0.000 0.500 0.000
0.500 0.000 0.000
0.000 0.000 0.500
```